# PBE-GGA Nd5Sm3Cd, relaxed
data_Nd5Sm3Cd
_cell_length_a 12.1090
_cell_length_b 8.6886
_cell_length_c 13.4927
_cell_angle_alpha 90.00
_cell_angle_beta 109.67
_cell_angle_gamma 90.00
_symmetry_space_group_name_H-M 'C 1 2/m 1'
_symmetry_Int_Tables_number 12
_symmetry_space_group_name_Hall '-C 2y'
loop_
_atom_site_label
_atom_site_type_symbol
_atom_site_fract_x
_atom_site_fract_y
_atom_site_fract_z
_atom_site_occupancy
Nd1 Nd 0.0000 0.1726 0.0000 1
Nd2 Nd 0.0107 0.0000 0.3920 1
Nd3 Nd 0.1744 0.1919 0.8032 1
Nd4 Nd 0.2345 0.5000 0.9554 1
Sm1 Sm 0.0000 0.5000 0.0000 1
Sm2 Sm 0.0000 0.5000 0.5000 1
Sm3 Sm 0.1937 0.0000 0.2747 1
Sm4 Sm 0.2409 0.5000 0.4163 1
Cd1 Cd 0.0057 0.5000 0.7506 1
# calculated formation energy: 0.434 eV/atom
# magnetization: 0.001 μB/f.u.

---

# PBE-GGA MoI3Br, relaxed
data_MoI3Br
_cell_length_a 5.4810
_cell_length_b 5.4810
_cell_length_c 5.4810
_cell_angle_alpha 90.00
_cell_angle_beta 90.00
_cell_angle_gamma 90.00
_symmetry_space_group_name_H-M 'P m -3 m'
_symmetry_Int_Tables_number 221
_symmetry_space_group_name_Hall '-P 4 2 3'
loop_
_atom_site_label
_atom_site_type_symbol
_atom_site_fract_x
_atom_site_fract_y
_atom_site_fract_z
_atom_site_occupancy
Mo1 Mo 0.0000 0.0000 0.0000 1
I1 I 0.0000 0.0000 0.5000 1
Br1 Br 0.5000 0.5000 0.5000 1
# magnetization: 1.317 μB/f.u.
# raw formation energy: 129 kJ/mol of formula units
# offset from the most stable computed form: 0.458 eV/atom

---

# PBE-GGA Sm2SeS2, relaxed
data_Sm2SeS2
_cell_length_a 4.1568
_cell_length_b 5.4834
_cell_length_c 13.1978
_cell_angle_alpha 90.00
_cell_angle_beta 90.00
_cell_angle_gamma 90.00
_symmetry_space_group_name_H-M 'I m m m'
_symmetry_Int_Tables_number 71
_symmetry_space_group_name_Hall '-I 2 2'
loop_
_atom_site_label
_atom_site_type_symbol
_atom_site_fract_x
_atom_site_fract_y
_atom_site_fract_z
_atom_site_occupancy
Sm1 Sm 0.0000 0.0000 0.1590 1
Se1 Se 0.0000 0.5000 0.5000 1
S1 S 0.0000 0.5000 0.2003 1
# magnetization: 0.000 μB/f.u.
# raw formation energy: -965 kJ/mol of formula units
# offset from the most stable computed form: 0.000 eV/atom

---

# PBE-GGA YInSe2, relaxed
data_YInSe2
_cell_length_a 4.1335
_cell_length_b 4.1335
_cell_length_c 23.5942
_cell_angle_alpha 90.00
_cell_angle_beta 90.00
_cell_angle_gamma 120.00
_symmetry_space_group_name_H-M 'R 3 m'
_symmetry_Int_Tables_number 160
_symmetry_space_group_name_Hall 'R 3 -2"'
loop_
_atom_site_label
_atom_site_type_symbol
_atom_site_fract_x
_atom_site_fract_y
_atom_site_fract_z
_atom_site_occupancy
Y1 Y 0.0000 0.0000 0.0000 1
In1 In 0.0000 0.0000 0.8311 1
Se1 Se 0.0000 0.0000 0.4026 1
Se2 Se 0.0000 0.0000 0.5981 1
# magnetization: 0.000 μB/f.u.
# raw formation energy: -499 kJ/mol of formula units

---

# PBE-GGA SrIn2Pt, relaxed
data_SrIn2Pt
_cell_length_a 4.6641
_cell_length_b 3.8438
_cell_length_c 6.4695
_cell_angle_alpha 90.00
_cell_angle_beta 110.91
_cell_angle_gamma 90.00
_symmetry_space_group_name_H-M 'P 1 m 1'
_symmetry_Int_Tables_number 6
_symmetry_space_group_name_Hall 'P -2y'
loop_
_atom_site_label
_atom_site_type_symbol
_atom_site_fract_x
_atom_site_fract_y
_atom_site_fract_z
_atom_site_occupancy
Sr1 Sr 0.0000 0.0000 0.0000 1
In1 In 0.3169 0.5000 0.6341 1
In2 In 0.7136 0.0000 0.4273 1
Pt1 Pt 0.5464 0.5000 0.0930 1
# calculated formation energy: -0.478 eV/atom
# magnetization: 0.000 μB/f.u.

---

# PBE-GGA MnBiPPt2, relaxed
data_MnBiPPt2
_cell_length_a 4.5708
_cell_length_b 4.5708
_cell_length_c 5.0704
_cell_angle_alpha 90.00
_cell_angle_beta 90.00
_cell_angle_gamma 90.00
_symmetry_space_group_name_H-M 'P 4/m m m'
_symmetry_Int_Tables_number 123
_symmetry_space_group_name_Hall '-P 4 2'
loop_
_atom_site_label
_atom_site_type_symbol
_atom_site_fract_x
_atom_site_fract_y
_atom_site_fract_z
_atom_site_occupancy
Mn1 Mn 0.0000 0.0000 0.0000 1
Bi1 Bi 0.0000 0.0000 0.5000 1
P1 P 0.5000 0.5000 0.5000 1
Pt1 Pt 0.0000 0.5000 0.0000 1
# calculated formation energy: 1.052 eV/atom
# magnetization: 0.000 μB/f.u.

---

# PBE-GGA SrMg2Zn2Ga2, relaxed
data_SrMg2Zn2Ga2
_cell_length_a 4.4411
_cell_length_b 4.4411
_cell_length_c 26.6845
_cell_angle_alpha 90.00
_cell_angle_beta 90.00
_cell_angle_gamma 120.00
_symmetry_space_group_name_H-M 'R -3 m'
_symmetry_Int_Tables_number 166
_symmetry_space_group_name_Hall '-R 3 2"'
loop_
_atom_site_label
_atom_site_type_symbol
_atom_site_fract_x
_atom_site_fract_y
_atom_site_fract_z
_atom_site_occupancy
Sr1 Sr 0.0000 0.0000 0.0000 1
Mg1 Mg 0.0000 0.0000 0.1367 1
Zn1 Zn 0.0000 0.0000 0.4210 1
Ga1 Ga 0.0000 0.0000 0.2490 1
# calculated formation energy: -0.280 eV/atom
# magnetization: 0.000 μB/f.u.

---

# PBE-GGA K3HoPa3Se8, relaxed
data_K3HoPa3Se8
_cell_length_a 8.2866
_cell_length_b 8.2866
_cell_length_c 23.7845
_cell_angle_alpha 90.00
_cell_angle_beta 90.00
_cell_angle_gamma 120.00
_symmetry_space_group_name_H-M 'R -3 m'
_symmetry_Int_Tables_number 166
_symmetry_space_group_name_Hall '-R 3 2"'
loop_
_atom_site_label
_atom_site_type_symbol
_atom_site_fract_x
_atom_site_fract_y
_atom_site_fract_z
_atom_site_occupancy
K1 K 0.0000 0.5000 0.0000 1
Ho1 Ho 0.0000 0.0000 0.5000 1
Pa1 Pa 0.0000 0.5000 0.5000 1
Se1 Se 0.0000 0.0000 0.2374 1
Se2 Se 0.0012 0.5006 0.2349 1
# magnetization: 5.033 μB/f.u.
# raw formation energy: -2094 kJ/mol of formula units

---

# PBE-GGA BeAlHg2, relaxed
data_BeAlHg2
_cell_length_a 4.2545
_cell_length_b 4.2545
_cell_length_c 8.1101
_cell_angle_alpha 90.00
_cell_angle_beta 90.00
_cell_angle_gamma 90.00
_symmetry_space_group_name_H-M 'I 4/m m m'
_symmetry_Int_Tables_number 139
_symmetry_space_group_name_Hall '-I 4 2'
loop_
_atom_site_label
_atom_site_type_symbol
_atom_site_fract_x
_atom_site_fract_y
_atom_site_fract_z
_atom_site_occupancy
Be1 Be 0.0000 0.0000 0.0000 1
Al1 Al 0.0000 0.0000 0.5000 1
Hg1 Hg 0.0000 0.5000 0.2500 1
# calculated formation energy: 0.462 eV/atom
# magnetization: 0.000 μB/f.u.
# offset from the most stable computed form: 0.236 eV/atom

---

# PBE-GGA Li2AgHg4, relaxed
data_Li2AgHg4
_cell_length_a 5.3714
_cell_length_b 5.3714
_cell_length_c 11.9332
_cell_angle_alpha 90.00
_cell_angle_beta 90.00
_cell_angle_gamma 90.00
_symmetry_space_group_name_H-M 'I 4/m m m'
_symmetry_Int_Tables_number 139
_symmetry_space_group_name_Hall '-I 4 2'
loop_
_atom_site_label
_atom_site_type_symbol
_atom_site_fract_x
_atom_site_fract_y
_atom_site_fract_z
_atom_site_occupancy
Li1 Li 0.0000 0.0000 0.1324 1
Ag1 Ag 0.0000 0.0000 0.5000 1
Hg1 Hg 0.0000 0.5000 0.0000 1
Hg2 Hg 0.0000 0.5000 0.2500 1
# calculated formation energy: -0.049 eV/atom
# magnetization: 0.000 μB/f.u.
# offset from the most stable computed form: 0.131 eV/atom

---

# PBE-GGA Cr2SiPAu, relaxed
data_Cr2SiPAu
_cell_length_a 8.1437
_cell_length_b 2.9363
_cell_length_c 6.4439
_cell_angle_alpha 90.00
_cell_angle_beta 108.48
_cell_angle_gamma 90.00
_symmetry_space_group_name_H-M 'C 1 m 1'
_symmetry_Int_Tables_number 8
_symmetry_space_group_name_Hall 'C -2y'
loop_
_atom_site_label
_atom_site_type_symbol
_atom_site_fract_x
_atom_site_fract_y
_atom_site_fract_z
_atom_site_occupancy
Cr1 Cr 0.0000 0.0000 0.0000 1
Cr2 Cr 0.2408 0.0000 0.7903 1
Si1 Si 0.4861 0.0000 0.6782 1
P1 P 0.2401 0.5000 0.0702 1
Au1 Au 0.1452 0.5000 0.3983 1
# magnetization: 0.243 μB/f.u.
# raw formation energy: -51 kJ/mol of formula units
# offset from the most stable computed form: 0.000 eV/atom

---

# PBE-GGA NaNd2SnSe4, relaxed
data_NaNd2SnSe4
_cell_length_a 8.5393
_cell_length_b 8.5796
_cell_length_c 12.0506
_cell_angle_alpha 90.00
_cell_angle_beta 90.00
_cell_angle_gamma 90.00
_symmetry_space_group_name_H-M 'I m m a'
_symmetry_Int_Tables_number 74
_symmetry_space_group_name_Hall '-I 2b 2'
loop_
_atom_site_label
_atom_site_type_symbol
_atom_site_fract_x
_atom_site_fract_y
_atom_site_fract_z
_atom_site_occupancy
Na1 Na 0.2500 0.2500 0.2500 1
Nd1 Nd 0.0000 0.0000 0.0000 1
Nd2 Nd 0.2500 0.2500 0.7500 1
Sn1 Sn 0.0000 0.0000 0.5000 1
Se1 Se 0.0000 0.0049 0.7515 1
Se2 Se 0.2481 0.2500 0.9997 1
# magnetization: 0.000 μB/f.u.
# raw formation energy: -1050 kJ/mol of formula units